# 1
ZrTlCu2Se4 (PBE, optimized geometry); space-group type = I-4; size of the total moment = 0.00 μB/f.u.
1.0
-2.972 2.972 5.987
2.972 -2.972 5.987
2.972 2.972 -5.987
Zr Tl Cu Se
1 1 2 4
Cartesian
0.000 0.000 0.000
2.972 0.000 2.993
0.000 0.000 5.987
0.000 2.972 2.993
4.197 1.320 -1.357
1.320 1.747 1.357
-1.225 1.653 4.629
1.653 1.225 7.344



# 2
SmGd2In3Pd3 (PBE, optimized geometry); space-group type = Amm2; size of the total moment = 0.03 μB/f.u.
1.0
3.936 0.000 0.000
0.000 6.681 3.849
0.000 -6.681 3.849
Sm Gd In Pd
1 2 3 3
Cartesian
0.000 0.000 0.000
0.000 -2.738 2.965
0.000 2.738 2.965
1.968 0.000 2.575
1.968 -1.719 5.524
1.968 1.719 5.524
0.000 0.000 4.536
1.968 -4.438 4.547
1.968 4.438 4.547



# 3
UNbZn (PBE, optimized geometry); space-group type = F-43m; size of the total moment = 0.29 μB/f.u.; energy of formation from the pure elements = 343 kJ/mol of formula units
1.0
0.000 3.198 3.198
3.198 0.000 3.198
3.198 3.198 0.000
U Nb Zn
1 1 1
Cartesian
0.000 0.000 0.000
4.797 4.797 4.797
1.599 1.599 1.599



# 4
K2ZnH12S2O14 (PBE, optimized geometry); space-group type = P2_1/c
1.0
5.996 0.000 0.000
0.000 11.909 0.000
-2.212 0.000 8.548
K Zn H S O
4 2 24 4 28
Cartesian
0.112 1.883 3.116
-0.994 4.072 7.390
4.778 7.837 1.158
3.672 10.026 5.433
2.998 0.000 0.000
1.892 5.955 4.274
-0.408 6.637 5.119
0.698 11.227 0.845
-0.064 7.713 4.000
-1.170 10.151 8.274
-0.693 1.095 6.702
0.413 4.859 2.428
0.803 1.560 6.381
1.910 4.395 2.106
2.070 7.142 1.902
0.964 10.721 6.176
2.653 2.296 1.241
1.547 3.659 5.515
2.237 8.250 3.033
1.130 9.614 7.307
2.819 1.188 2.373
1.713 4.767 6.647
1.874 7.515 6.442
2.980 10.349 2.168
3.370 7.050 6.121
4.476 10.814 1.847
4.954 1.758 0.274
3.848 4.196 4.549
3.085 0.682 7.704
4.191 5.273 3.430
-0.672 7.530 7.788
0.434 10.334 3.514
3.349 1.576 5.035
4.456 4.379 0.760
-1.592 8.702 7.777
-0.486 9.162 3.503
-1.040 6.649 6.645
0.066 11.215 2.370
0.037 6.748 4.236
-1.070 11.116 8.511
1.371 6.764 0.494
0.264 11.100 4.768
0.142 1.449 7.113
1.248 4.506 2.839
0.741 7.997 7.647
1.847 9.867 3.373
2.349 1.388 1.510
1.243 4.567 5.784
2.541 7.342 2.764
1.435 10.521 7.038
1.936 2.042 5.176
3.042 3.912 0.901
2.535 7.404 5.710
3.641 10.460 1.435
3.519 0.809 3.780
2.413 5.145 8.054
4.853 0.793 0.038
3.747 5.161 4.312
3.717 0.694 6.178
4.823 5.260 1.904
4.270 2.747 5.045
5.376 3.207 0.771



Number 1: calculated total energy -0.3333 Ry per atom. Number 2: calculated total energy -0.3682 Ry per atom. Number 3: calculated total energy -0.4679 Ry per atom. Number 4: calculated total energy -0.3845 Ry per atom.